1.
# TcGeBr3

A geometry-optimized TcGeBr3 structure (PBE-GGA, the Alexandria database).

Lattice parameters (Å, degrees): 5.1611 5.1611 5.1611 90.00 90.00 90.00
Fractional coordinates of all 5 atoms:
1 Ge 0.5000 0.5000 0.5000
2 Tc 0.0000 0.0000 0.0000
3 Br 0.0000 0.5000 0.0000
4 Br 0.0000 0.0000 0.5000
5 Br 0.5000 0.0000 0.0000

**E**: -17.86 eV for the cell shown
**ΔE_f (raw)**: 428.6 meV/atom

2.
# InGa2Bi

A geometry-optimized InGa2Bi structure (PBE-GGA, the Alexandria database).

Lattice parameters (Å, degrees): 4.8516 4.8516 5.7422 65.01 65.01 60.00
Fractional coordinates of all 4 atoms:
1 Bi 0.0000 0.0000 0.0000
2 Ga 0.7619 0.7619 0.7144
3 Ga 0.2381 0.2381 0.2856
4 In 0.5000 0.5000 0.5000

**E**: -12.36 eV for the cell shown
**Formation energy**: 77.6 meV per atom